DFT (PBE with a Hubbard U) results for an optimized crystal structure of LiCrF3.

ΔE to the lowest computed polymorph	0.000	eV per atom
theoretical density	3035	kg/m3
space group	C2/c, No. 15

```
LiCrF3
1.0
-2.6334 -0.8069 5.2070
4.6263 -4.0986 2.2843
3.3752 4.7812 3.0277
Li Cr F
4 4 12
Direct
0.6895 0.5901 0.7673
0.8105 0.2327 0.4099
0.3105 0.4099 0.2327
0.1895 0.7673 0.5901
0.2500 0.9121 0.0879
0.7500 0.0879 0.9121
0.2500 0.2755 0.7245
0.7500 0.7245 0.2755
0.6443 0.7949 0.9756
0.8557 0.0244 0.2051
0.3557 0.2051 0.0244
0.1443 0.9756 0.7949
0.8727 0.3600 0.8693
0.6273 0.1307 0.6400
0.1273 0.6400 0.1307
0.3727 0.8693 0.3600
0.3800 0.5503 0.7058
0.1200 0.2942 0.4497
0.6200 0.4497 0.2942
0.8800 0.7058 0.5503
```